[1]
DFT (PBE-GGA) results for a relaxed structure of Th2TlIn.

Unit cell a=4.987 b=4.987 c=4.645 alpha=90.00 beta=90.00 gamma=90.00
Fractional coordinates of all 4 atoms:
Th (0.000, 0.500, 0.000)
Th (0.500, 0.000, 0.000)
Tl (0.000, 0.000, 0.500)
In (0.500, 0.500, 0.500)

Summary:
Its symmetry is No. 123.



[2]
DFT (PBE-GGA) results for a relaxed structure of Th3TlIn2.

Unit cell a=3.527 b=3.527 c=13.907 alpha=90.00 beta=90.00 gamma=90.00
Fractional coordinates of all 6 atoms:
Th (0.000, 0.000, 0.000)
Th (0.000, 0.000, 0.331)
Th (0.000, 0.000, 0.669)
Tl (0.500, 0.500, 0.500)
In (0.500, 0.500, 0.166)
In (0.500, 0.500, 0.834)

Summary:
Its symmetry is No. 123.



[3]
DFT (PBE-GGA) results for a relaxed structure of Th4TlIn.

Unit cell a=7.794 b=7.794 c=6.129 alpha=90.00 beta=90.00 gamma=90.00
Fractional coordinates of all 12 atoms:
Th (0.150, 0.347, 0.000)
Th (0.150, 0.653, 0.500)
Th (0.347, 0.150, 0.500)
Th (0.347, 0.850, 0.000)
Th (0.653, 0.150, 0.000)
Th (0.653, 0.850, 0.500)
Th (0.850, 0.347, 0.500)
Th (0.850, 0.653, 0.000)
Tl (0.500, 0.500, 0.250)
Tl (0.500, 0.500, 0.750)
In (0.000, 0.000, 0.250)
In (0.000, 0.000, 0.750)

Summary:
Its symmetry is No. 124.



[4]
DFT (PBE-GGA) results for a relaxed structure of ThTlIn2.

Unit cell a=3.923 b=3.923 c=7.244 alpha=90.00 beta=90.00 gamma=90.00
Fractional coordinates of all 4 atoms:
Th (0.000, 0.000, 0.000)
Tl (0.000, 0.000, 0.500)
In (0.500, 0.500, 0.273)
In (0.500, 0.500, 0.727)

Summary:
Its symmetry is No. 123.



[5]
DFT (PBE-GGA) results for a relaxed structure of Th3Tl2In.

Unit cell a=3.540 b=3.540 c=13.897 alpha=90.00 beta=90.00 gamma=90.00
Fractional coordinates of all 6 atoms:
Th (0.000, 0.000, 0.000)
Th (0.000, 0.000, 0.335)
Th (0.000, 0.000, 0.665)
Tl (0.500, 0.500, 0.167)
Tl (0.500, 0.500, 0.833)
In (0.500, 0.500, 0.500)

Summary:
Its symmetry is No. 123.



[6]
DFT (PBE-GGA) results for a relaxed structure of Th4Tl3In.

Unit cell a=4.188 b=4.188 c=13.483 alpha=90.00 beta=90.00 gamma=90.00
Fractional coordinates of all 8 atoms:
Th (0.000, 0.000, 0.123)
Th (0.000, 0.000, 0.375)
Th (0.000, 0.000, 0.625)
Th (0.000, 0.000, 0.877)
Tl (0.500, 0.500, 0.248)
Tl (0.500, 0.500, 0.500)
Tl (0.500, 0.500, 0.752)
In (0.500, 0.500, 0.000)

Summary:
Its symmetry is No. 123.



[7]
DFT (PBE-GGA) results for a relaxed structure of ThTlIn.

Unit cell a=6.012 b=6.012 c=6.535 alpha=90.00 beta=90.00 gamma=133.39
Fractional coordinates of all 6 atoms:
Th (0.172, 0.828, 0.750)
Th (0.828, 0.172, 0.250)
Tl (0.500, 0.500, 0.000)
Tl (0.500, 0.500, 0.500)
In (0.130, 0.870, 0.250)
In (0.870, 0.130, 0.750)

Summary:
Its symmetry is No. 63. The energy above the most stable polymorph in this dataset comes out at 0.000 eV per atom.



[8]
DFT (PBE-GGA) results for a relaxed structure of Th5Tl4In.

Unit cell a=3.542 b=3.542 c=23.194 alpha=90.00 beta=90.00 gamma=90.00
Fractional coordinates of all 10 atoms:
Th (0.000, 0.000, 0.000)
Th (0.000, 0.000, 0.201)
Th (0.000, 0.000, 0.401)
Th (0.000, 0.000, 0.599)
Th (0.000, 0.000, 0.799)
Tl (0.500, 0.500, 0.100)
Tl (0.500, 0.500, 0.301)
Tl (0.500, 0.500, 0.699)
Tl (0.500, 0.500, 0.900)
In (0.500, 0.500, 0.500)

Summary:
Its symmetry is No. 123.



no.,calculated formation energy (meV per atom),volume (Å³ per cell)
1,-214,116
2,-240,173
3,-125,372
4,-100,111
5,-193,174
6,-137,236
7,-133,172
8,-174,291